<P>
First-principles (PBE-GGA) data for a relaxed BeNbWI crystal, as listed in the Alexandria database.

Its symmetry is Pm, No. 6. The value obtained for the size of the total moment is 0.000 μB per cell.

a b c (Å): 3.317 3.338 6.366
angles (deg): 90.00 90.93 90.00
Fractional positions:
1 Nb 0.040 0.000 0.522
2 Be 0.094 0.000 0.137
3 W 0.598 0.500 0.268
4 I 0.571 0.500 0.821



<Q>
First-principles (PBE-GGA) data for a relaxed BeNbWI crystal, as listed in the Alexandria database.

Its symmetry is Imm2, No. 44. The value obtained for the size of the total moment is 0.000 μB per cell.

a b c (Å): 3.457 3.428 13.097
angles (deg): 90.00 90.00 90.00
Fractional positions:
1 W 0.500 0.000 0.490
2 W 0.000 0.500 0.990
3 I 0.500 0.500 0.307
4 Be 0.500 0.000 0.671
5 Be 0.000 0.500 0.171
6 Nb 0.000 0.500 0.584
7 I 0.000 0.000 0.807
8 Nb 0.500 0.000 0.084



The winner here is <P>, beating the second structure by 110 meV/atom.



<P>
First-principles (PBE-GGA) data for a relaxed BeNbWI crystal, as listed in the Alexandria database.

Its symmetry is Pm, No. 6. The value obtained for the size of the total moment is 0.000 μB per cell.

a b c (Å): 3.507 3.695 6.121
angles (deg): 90.00 104.07 90.00
Fractional positions:
1 I 0.289 0.000 0.376
2 Be 0.634 0.000 0.815
3 W 0.730 0.500 0.052
4 Nb 0.096 0.500 0.733



<Q>
First-principles (PBE-GGA) data for a relaxed BeNbWI crystal, as listed in the Alexandria database.

Its symmetry is P1, No. 1. The value obtained for the size of the total moment is 0.000 μB per cell.

a b c (Å): 3.286 3.379 7.087
angles (deg): 103.68 90.48 90.03
Fractional positions:
1 W 0.555 0.754 0.359
2 I 0.464 0.964 0.782
3 Be 0.060 0.313 0.480
4 Nb 0.946 0.138 0.127



The winner here is <Q>, beating the second structure by 257 meV/atom.



<P>
First-principles (PBE-GGA) data for a relaxed BeNbWI crystal, as listed in the Alexandria database.

Its symmetry is R3m, No. 160. The value obtained for the size of the total moment is 0.000 μB per cell.

a b c (Å): 3.883 3.883 19.692
angles (deg): 90.00 90.00 120.00
Fractional positions:
1 W 0.333 0.667 0.551
2 Nb 0.333 0.667 0.138
3 Nb 0.667 0.333 0.805
4 Be 0.667 0.333 0.525
5 Be 0.333 0.667 0.858
6 I 0.333 0.667 0.695
7 I 0.000 0.000 0.028
8 W 0.667 0.333 0.218
9 Nb 0.000 0.000 0.472
10 W 0.000 0.000 0.884
11 Be 0.000 0.000 0.191
12 I 0.667 0.333 0.361



<Q>
First-principles (PBE-GGA) data for a relaxed BeNbWI crystal, as listed in the Alexandria database.

Its symmetry is Pm, No. 6. The value obtained for the size of the total moment is 0.000 μB per cell.

a b c (Å): 3.451 3.418 6.633
angles (deg): 90.00 90.28 90.00
Fractional positions:
1 Nb 0.125 0.500 0.528
2 I 0.630 0.500 0.097
3 Be 0.624 0.000 0.377
4 W 0.628 0.000 0.724



The winner here is <P>, beating the second structure by 179 meV/atom.



<P>
First-principles (PBE-GGA) data for a relaxed BeNbWI crystal, as listed in the Alexandria database.

Its symmetry is Cm, No. 8. The value obtained for the size of the total moment is 0.000 μB per cell.

a b c (Å): 4.918 3.415 9.085
angles (deg): 90.00 117.14 90.00
Fractional positions:
1 Nb 0.553 0.000 0.746
2 Be 0.651 0.500 0.964
3 Nb 0.553 0.500 0.246
4 I 0.190 0.500 0.430
5 I 0.190 0.000 0.930
6 W 0.946 0.500 0.644
7 Be 0.651 0.000 0.464
8 W 0.946 0.000 0.144



<Q>
First-principles (PBE-GGA) data for a relaxed BeNbWI crystal, as listed in the Alexandria database.

Its symmetry is P1, No. 1. The value obtained for the size of the total moment is 0.000 μB per cell.

a b c (Å): 3.741 3.740 6.770
angles (deg): 73.98 89.98 59.99
Fractional positions:
1 Be 0.300 0.441 0.299
2 W 0.594 0.854 0.179
3 I 0.802 0.432 0.817
4 Nb 0.018 0.005 0.453



<R>
First-principles (PBE-GGA) data for a relaxed BeNbWI crystal, as listed in the Alexandria database.

Its symmetry is Pm, No. 6. The value obtained for the size of the total moment is 0.000 μB per cell.

a b c (Å): 3.396 3.378 6.265
angles (deg): 90.00 90.38 90.00
Fractional positions:
1 W 0.655 0.500 0.109
2 Be 0.684 0.500 0.491
3 I 0.270 0.000 0.805
4 Nb 0.190 0.000 0.343



The winner here is <Q>, beating the second structure by 143 meV/atom.



<P>
First-principles (PBE-GGA) data for a relaxed BeNbWI crystal, as listed in the Alexandria database.

Its symmetry is P3m1, No. 156. The value obtained for the size of the total moment is 0.000 μB per cell.

a b c (Å): 3.892 3.892 6.503
angles (deg): 90.00 90.00 120.00
Fractional positions:
1 W 0.000 0.000 0.215
2 Nb 0.667 0.333 0.456
3 Be 0.333 0.667 0.294
4 I 0.000 0.000 0.783



<Q>
First-principles (PBE-GGA) data for a relaxed BeNbWI crystal, as listed in the Alexandria database.

Its symmetry is Cm, No. 8. The value obtained for the size of the total moment is 0.000 μB per cell.

a b c (Å): 5.123 3.314 9.549
angles (deg): 90.00 121.60 90.00
Fractional positions:
1 W 0.023 0.000 0.111
2 Nb 0.407 0.500 0.995
3 Be 0.414 0.000 0.790
4 W 0.023 0.500 0.611
5 Nb 0.407 0.000 0.495
6 Be 0.414 0.500 0.290
7 I 0.904 0.000 0.804
8 I 0.904 0.500 0.304



The winner here is <P>, beating the second structure by 434 meV/atom.



<P>
First-principles (PBE-GGA) data for a relaxed BeNiI2 crystal, as listed in the Alexandria database.

Its symmetry is I-42d, No. 122. The value obtained for the size of the total moment is 0.000 μB per cell.

a b c (Å): 5.742 5.742 6.987
angles (deg): 65.74 65.74 90.00
Fractional positions:
1 I 0.619 0.125 0.250
2 I 0.875 0.869 0.750
3 I 0.375 0.381 0.750
4 Ni 0.000 0.000 0.000
5 Be 0.500 0.500 0.000
6 Ni 0.750 0.250 0.500
7 Be 0.250 0.750 0.500
8 I 0.131 0.625 0.250



<Q>
First-principles (PBE-GGA) data for a relaxed BeNiI2 crystal, as listed in the Alexandria database.

Its symmetry is Fm-3m, No. 225. The value obtained for the size of the total moment is 0.584 μB per cell.

a b c (Å): 4.948 4.948 4.948
angles (deg): 60.00 60.00 60.00
Last column: magnetic moment on the atom in μB.
Fractional positions:
1 I 0.750 0.750 0.750  0.06
2 I 0.250 0.250 0.250  0.06
3 Ni 0.500 0.500 0.500  0.50
4 Be 0.000 0.000 0.000  -0.02



The winner here is <P>, beating the second structure by 780 meV/atom.



<P>
First-principles (PBE-GGA) data for a relaxed BeNi3I crystal, as listed in the Alexandria database.

Its symmetry is Pm-3m, No. 221. The value obtained for the size of the total moment is 0.000 μB per cell.

a b c (Å): 4.595 4.595 4.595
angles (deg): 90.00 90.00 90.00
Fractional positions:
1 Be 0.500 0.500 0.500
2 Ni 0.000 0.500 0.000
3 I 0.000 0.000 0.000
4 Ni 0.000 0.000 0.500
5 Ni 0.500 0.000 0.000



<Q>
First-principles (PBE-GGA) data for a relaxed BeNi3I crystal, as listed in the Alexandria database.

Its symmetry is Pm-3m, No. 221. The value obtained for the size of the total moment is 0.000 μB per cell.

a b c (Å): 4.092 4.092 4.092
angles (deg): 90.00 90.00 90.00
Fractional positions:
1 Ni 0.500 0.000 0.000
2 Ni 0.000 0.000 0.500
3 I 0.500 0.500 0.500
4 Be 0.000 0.000 0.000
5 Ni 0.000 0.500 0.000



The winner here is <Q>, beating the second structure by 896 meV/atom.



<P>
First-principles (PBE-GGA) data for a relaxed BeNi2I crystal, as listed in the Alexandria database.

Its symmetry is Fm-3m, No. 225. The value obtained for the size of the total moment is 0.000 μB per cell.

a b c (Å): 4.296 4.296 4.296
angles (deg): 60.00 60.00 60.00
Fractional positions:
1 Be 0.000 0.000 0.000
2 I 0.500 0.500 0.500
3 Ni 0.750 0.750 0.750
4 Ni 0.250 0.250 0.250



<Q>
First-principles (PBE-GGA) data for a relaxed BeNi2I crystal, as listed in the Alexandria database.

Its symmetry is I-42d, No. 122. The value obtained for the size of the total moment is 0.000 μB per cell.

a b c (Å): 4.049 4.049 8.092
angles (deg): 75.51 75.51 90.00
Fractional positions:
1 Ni 0.556 0.125 0.250
2 Ni 0.375 0.444 0.750
3 Be 0.500 0.500 0.000
4 I 0.000 0.000 0.000
5 Ni 0.875 0.806 0.750
6 Be 0.250 0.750 0.500
7 Ni 0.194 0.625 0.250
8 I 0.750 0.250 0.500



The winner here is <Q>, beating the second structure by 112 meV/atom.



<P>
First-principles (PBE-GGA) data for a relaxed Be2IO crystal, as listed in the Alexandria database.

Its symmetry is Fm-3m, No. 225. The value obtained for the size of the total moment is 0.000 μB per cell.

a b c (Å): 4.219 4.219 4.219
angles (deg): 60.00 60.00 60.00
Fractional positions:
1 Be 0.250 0.250 0.250
2 O 0.000 0.000 0.000
3 Be 0.750 0.750 0.750
4 I 0.500 0.500 0.500



<Q>
First-principles (PBE-GGA) data for a relaxed Be2IO crystal, as listed in the Alexandria database.

Its symmetry is I-42d, No. 122. The value obtained for the size of the total moment is 0.000 μB per cell.

a b c (Å): 4.823 4.823 5.917
angles (deg): 65.95 65.95 90.00
Fractional positions:
1 Be 0.446 0.125 0.250
2 Be 0.304 0.625 0.250
3 Be 0.375 0.554 0.750
4 Be 0.875 0.696 0.750
5 I 0.750 0.250 0.500
6 O 0.250 0.750 0.500
7 I 0.000 0.000 0.000
8 O 0.500 0.500 0.000



The winner here is <Q>, beating the second structure by 1312 meV/atom.



<P>
First-principles (PBE-GGA) data for a relaxed BeI2O2 crystal, as listed in the Alexandria database.

Its symmetry is P4/mmm, No. 123. The value obtained for the size of the total moment is 0.410 μB per cell.

a b c (Å): 4.819 4.819 3.856
angles (deg): 90.00 90.00 90.00
Last column: magnetic moment on the atom in μB.
Fractional positions:
1 Be 0.500 0.500 0.500  -0.01
2 I 0.500 0.000 0.000  0.01
3 O 0.000 0.000 0.000  -0.01
4 I 0.000 0.500 0.000  0.01
5 O 0.000 0.000 0.500  0.34



<Q>
First-principles (PBE-GGA) data for a relaxed BeI2O2 crystal, as listed in the Alexandria database.

Its symmetry is P4/mmm, No. 123. The value obtained for the size of the total moment is 0.000 μB per cell.

a b c (Å): 4.015 4.015 8.417
angles (deg): 90.00 90.00 90.00
Fractional positions:
1 O 0.000 0.500 0.000
2 I 0.000 0.000 0.000
3 O 0.500 0.000 0.000
4 I 0.000 0.000 0.500
5 Be 0.500 0.500 0.500



<R>
First-principles (PBE-GGA) data for a relaxed BeI2O2 crystal, as listed in the Alexandria database.

Its symmetry is P4/mmm, No. 123. The value obtained for the size of the total moment is 2.636 μB per cell.

a b c (Å): 6.301 6.301 2.919
angles (deg): 90.00 90.00 90.00
Last column: magnetic moment on the atom in μB.
Fractional positions:
1 Be 0.000 0.000 0.000  0.00
2 O 0.000 0.000 0.500  0.07
3 I 0.500 0.000 0.000  0.28
4 I 0.000 0.500 0.000  0.28
5 O 0.500 0.500 0.500  1.42



The winner here is <R>, beating the second structure by 493 meV/atom.



<P>
First-principles (PBE-GGA) data for a relaxed BeIO2 crystal, as listed in the Alexandria database.

Its symmetry is I-42d, No. 122. The value obtained for the size of the total moment is 0.000 μB per cell.

a b c (Å): 4.857 4.857 5.370
angles (deg): 63.11 63.11 90.00
Fractional positions:
1 I 0.750 0.250 0.500
2 O 0.875 0.725 0.750
3 O 0.275 0.625 0.250
4 Be 0.500 0.500 0.000
5 O 0.475 0.125 0.250
6 Be 0.250 0.750 0.500
7 I 0.000 0.000 0.000
8 O 0.375 0.525 0.750



<Q>
First-principles (PBE-GGA) data for a relaxed BeIO2 crystal, as listed in the Alexandria database.

Its symmetry is R-3m, No. 166. The value obtained for the size of the total moment is 0.000 μB per cell.

a b c (Å): 6.781 6.781 6.781
angles (deg): 27.18 27.18 27.18
Fractional positions:
1 O 0.074 0.074 0.074
2 O 0.926 0.926 0.926
3 I 0.500 0.500 0.500
4 Be 0.000 0.000 0.000



<R>
First-principles (PBE-GGA) data for a relaxed BeIO2 crystal, as listed in the Alexandria database.

Its symmetry is Fm-3m, No. 225. The value obtained for the size of the total moment is 0.000 μB per cell.

a b c (Å): 4.112 4.112 4.112
angles (deg): 60.00 60.00 60.00
Fractional positions:
1 Be 0.000 0.000 0.000
2 O 0.250 0.250 0.250
3 I 0.500 0.500 0.500
4 O 0.750 0.750 0.750



<S>
First-principles (PBE-GGA) data for a relaxed BeIO2 crystal, as listed in the Alexandria database.

Its symmetry is R-3m, No. 166. The value obtained for the size of the total moment is 0.000 μB per cell.

a b c (Å): 6.225 6.225 6.225
angles (deg): 28.14 28.14 28.14
Fractional positions:
1 O 0.116 0.116 0.116
2 O 0.884 0.884 0.884
3 Be 0.500 0.500 0.500
4 I 0.000 0.000 0.000



The winner here is <P>, beating the second structure by 92 meV/atom.



<P>
First-principles (PBE-GGA) data for a relaxed BePIO2 crystal, as listed in the Alexandria database.

Its symmetry is P4/mmm, No. 123. The value obtained for the size of the total moment is 0.000 μB per cell.

a b c (Å): 3.791 3.791 4.418
angles (deg): 90.00 90.00 90.00
Fractional positions:
1 P 0.000 0.000 0.500
2 O 0.000 0.500 0.000
3 I 0.500 0.500 0.500
4 Be 0.000 0.000 0.000
5 O 0.500 0.000 0.000



<Q>
First-principles (PBE-GGA) data for a relaxed BePIO2 crystal, as listed in the Alexandria database.

Its symmetry is P4/mmm, No. 123. The value obtained for the size of the total moment is 0.000 μB per cell.

a b c (Å): 3.583 3.583 6.655
angles (deg): 90.00 90.00 90.00
Fractional positions:
1 I 0.000 0.000 0.500
2 Be 0.000 0.000 0.000
3 O 0.500 0.000 0.000
4 P 0.500 0.500 0.500
5 O 0.000 0.500 0.000



The winner here is <Q>, beating the second structure by 34 meV/atom.